No. 1
A plane-wave DFT calculation with PBE was carried out for a relaxed structure of AlTl5.

a = 6.5107 Å, b = 6.5107 Å, c = 8.2688 Å
α = 83.08°, β = 83.08°, γ = 30.51°
Sites, in units of the cell vectors:
Al (0.9711, 0.9711, 0.0558)
Tl (0.7130, 0.7130, 0.6323)
Tl (0.3210, 0.3210, 0.2929)
Tl (0.4352, 0.4352, 0.7626)
Tl (0.0449, 0.0449, 0.3995)
Tl (0.6814, 0.6814, 0.0236)

Calculated values
N(E_F) (states/eV/atom): 0.3178
E (eV per atom): -2.49
Energy above the most stable polymorph in this dataset (meV per atom): 1.3
DFT formation energy (eV/atom): 0.111

***

No. 2
A plane-wave DFT calculation with PBE was carried out for a relaxed structure of Co2GeMo.

a = 3.7099 Å, b = 3.7099 Å, c = 8.5195 Å
α = 77.42°, β = 77.42°, γ = 90.00°
Last column: magnetic moment on the atom in μB.
Sites, in units of the cell vectors:
Mo (0.0000, 0.0000, 0.0000)  -0.06
Mo (0.7500, 0.2500, 0.5000)  -0.05
Co (0.6170, 0.1250, 0.2500)  0.23
Co (0.1330, 0.6250, 0.2500)  0.23
Co (0.3750, 0.3830, 0.7500)  0.21
Co (0.8750, 0.8670, 0.7500)  0.21
Ge (0.5000, 0.5000, 0.0000)  -0.01
Ge (0.2500, 0.7500, 0.5000)  -0.01

Calculated values
N(E_F) (states/eV/atom): 0.8992
E (eV per atom): -7.04
DFT formation energy (eV/atom): 0.371

***

No. 3
A plane-wave DFT calculation with PBE was carried out for a relaxed structure of LiTe2Au.

a = 3.0229 Å, b = 3.0229 Å, c = 11.0608 Å
α = 90.00°, β = 90.00°, γ = 93.18°
Sites, in units of the cell vectors:
Au (0.0000, 0.0000, 0.5623)
Li (0.5000, 0.5000, 0.7191)
Te (0.0000, 0.0000, 0.9256)
Te (0.5000, 0.5000, 0.2930)

Calculated values
N(E_F) (states/eV/atom): 0.3397
E (eV per atom): -3.05
Formation energy without anion corrections (eV per atom): -0.180